A geometry-optimized CsSeF5 structure, computed with PBE.

## Properties
symmetry	No. 74

Cell lengths 7.290, 7.290, 7.290 Å; angles 109.81, 109.30, 109.30 degrees
Element x y z (fractional)
1 Cs 0.496 0.246 0.250
2 Cs 0.504 0.754 0.750
3 Se 0.000 0.000 0.500
4 Se 0.000 0.500 0.000
5 F 0.007 0.757 0.250
6 F 0.226 0.232 0.505
7 F 0.226 0.721 0.995
8 F 0.227 0.000 0.727
9 F 0.227 0.500 0.227
10 F 0.773 0.000 0.273
11 F 0.773 0.500 0.773
12 F 0.774 0.279 0.005
13 F 0.774 0.768 0.495
14 F 0.993 0.243 0.750

A geometry-optimized NiAs2Br structure, computed with PBE.

## Properties
symmetry	No. 123

Cell lengths 2.857, 2.857, 10.821 Å; angles 90.00, 90.00, 90.00 degrees
Element x y z (fractional)
1 Ni 0.000 0.000 0.000
2 As 0.500 0.500 0.146
3 As 0.500 0.500 0.854
4 Br 0.000 0.000 0.500

Number 1: formation energy without anion corrections -2.0631 eV/atom, mass density 3.4 g/cm3. Number 2: formation energy without anion corrections 0.0192 eV/atom, mass density 5.4 g/cm3.